A geometry-optimized Dy3BiRh8 structure. Source: the Alexandria database, functional GGA-PBE.

```
Dy3BiRh8
1.0
5.1135 0.0000 1.5436
2.3237 4.5550 1.5436
-0.0047 -0.0029 9.2568
Rh Bi Dy
8 1 3
direct
0.1877 0.1877 0.4368
0.9371 0.4366 0.6893
0.4366 0.9371 0.6893
0.9371 0.9371 0.6893
0.4375 0.9402 0.1848
0.9402 0.4375 0.1848
0.4375 0.4375 0.1848
0.6877 0.6877 0.9369
0.8732 0.8732 0.3803
0.9970 0.9970 0.0090
0.5028 0.5028 0.4917
0.3757 0.3757 0.8730
```

Total moment ... 0.00 μB per formula unit
E ... -6.952 eV per atom
Fermi-level density of states ... 0.5718 states/eV per atom
Theoretical density ... 11702 kg/m3

=====

A geometry-optimized Dy5BiRh2 structure. Source: the Alexandria database, functional GGA-PBE.

```
Dy5BiRh2
1.0
-6.8040 -0.6967 3.8070
-3.5030 -2.1649 -6.6569
6.5758 -5.0433 2.7820
Rh Dy Bi
4 10 2
direct
0.8597 0.6403 0.0000
0.6403 0.1403 0.0000
0.3597 0.8597 0.0000
0.1403 0.3597 0.0000
0.9781 0.4781 0.2669
0.2888 0.7888 0.2669
0.0000 0.0000 0.0000
0.5000 0.5000 0.0000
0.5219 0.7112 0.7331
0.4781 0.2888 0.2669
0.7112 0.2112 0.7331
0.2112 0.0219 0.7331
0.7888 0.9781 0.2669
0.0219 0.5219 0.7331
0.2500 0.2500 0.5000
0.7500 0.7500 0.5000
```

Total moment ... 0.00 μB per formula unit
E ... -5.919 eV per atom
Fermi-level density of states ... 0.8829 states/eV per atom
Theoretical density ... 9832 kg/m3

=====

A geometry-optimized Dy8BiRh2 structure. Source: the Alexandria database, functional GGA-PBE.

```
Dy8BiRh2
1.0
-0.9507 -3.5768 -4.1733
1.3640 -5.3589 5.6710
-7.2297 3.2243 0.2724
Dy Rh Bi
8 2 1
direct
0.5000 0.7514 0.2486
0.0802 0.0771 0.3343
0.9198 0.9229 0.6657
0.7014 0.3975 0.3975
0.5000 0.2486 0.7514
0.2986 0.6025 0.6025
0.9198 0.6657 0.9229
0.0802 0.3343 0.0771
0.0000 0.6979 0.3021
0.0000 0.3021 0.6979
0.5000 0.0000 0.0000
```

Total moment ... 0.01 μB per formula unit
E ... -5.465 eV per atom
Fermi-level density of states ... 1.1930 states/eV per atom
Theoretical density ... 9183 kg/m3

=====

A geometry-optimized Dy6BiRh2 structure. Source: the Alexandria database, functional GGA-PBE.

```
Dy6BiRh2
1.0
8.0602 -0.1565 -2.9305
-4.3574 7.0204 -2.3038
-0.0797 0.1565 8.5761
Rh Dy Bi
4 12 2
direct
0.5000 0.6342 0.1342
0.3381 0.0000 0.3381
0.6619 0.0000 0.6619
0.5000 0.3658 0.8658
0.2076 0.2338 0.4414
0.6897 0.3595 0.6698
0.3103 0.6405 0.3302
0.7924 0.2338 0.0261
0.1137 0.2941 0.8197
0.6897 0.0198 0.3302
0.5256 0.7059 0.8197
0.2076 0.7662 0.9739
0.7924 0.7662 0.5586
0.8863 0.7059 0.1803
0.4744 0.2941 0.1803
0.3103 0.9802 0.6698
0.0000 0.0000 0.0000
0.0000 0.5000 0.5000
```

Total moment ... 0.00 μB per formula unit
E ... -5.746 eV per atom
Fermi-level density of states ... 0.9553 states/eV per atom
Theoretical density ... 9563 kg/m3

=====

A geometry-optimized Dy8Bi2Rh structure. Source: the Alexandria database, functional GGA-PBE.

```
Dy8Bi2Rh
1.0
4.7173 0.0000 0.0000
0.0000 7.2021 0.6956
-2.3586 -2.0792 9.2829
Dy Bi Rh
8 2 1
direct
0.2140 0.3497 0.4281
0.4057 0.4830 0.8115
0.5943 0.5170 0.1885
0.0006 0.2286 0.0012
0.6392 0.0444 0.2785
0.7860 0.6503 0.5719
0.9994 0.7714 0.9988
0.3608 0.9556 0.7215
0.1829 0.7855 0.3659
0.8171 0.2145 0.6341
0.5000 0.0000 0.0000
```

Total moment ... 0.00 μB per formula unit
E ... -5.149 eV per atom
Fermi-level density of states ... 1.0285 states/eV per atom
Theoretical density ... 9384 kg/m3

=====

A geometry-optimized DyBiRh2 structure. Source: the Alexandria database, functional GGA-PBE.

```
DyBiRh2
1.0
-1.3213 2.9943 -1.6257
1.2915 -1.6737 -4.1326
-4.1307 -2.0688 -0.4530
Rh Dy Bi
2 1 1
direct
0.0000 0.0000 0.5000
0.0000 0.5000 0.0000
0.5000 0.5000 0.5000
0.5000 0.0000 0.0000
```

Total moment ... 0.00 μB per formula unit
E ... -6.348 eV per atom
Fermi-level density of states ... 1.0441 states/eV per atom
Theoretical density ... 12174 kg/m3

=====

A geometry-optimized DyBiRu structure. Source: the Alexandria database, functional GGA-PBE.

```
DyBiRu
1.0
-2.1205 3.7638 -1.7331
-1.2252 0.1209 -4.4890
-9.3583 -2.3584 0.0774
Bi Dy Ru
2 2 2
direct
0.2017 0.2017 0.3949
0.7983 0.7983 0.6051
0.3955 0.3955 0.8135
0.6045 0.6045 0.1865
0.7000 0.7000 0.9001
0.3000 0.3000 0.0999
```

Total moment ... 0.00 μB per formula unit
E ... -5.654 eV per atom
Fermi-level density of states ... 1.3320 states/eV per atom
Theoretical density ... 9023 kg/m3

=====

A geometry-optimized Dy12BiRu6 structure. Source: the Alexandria database, functional GGA-PBE.

```
Dy12BiRu6
1.0
-7.6197 -1.6823 3.5006
5.5820 -6.0695 2.2685
2.7839 7.6049 2.7495
Bi Ru Dy
1 6 12
direct
0.0000 0.0000 0.0000
0.5000 0.8764 0.3764
0.3764 0.5000 0.8764
0.5000 0.1236 0.6236
0.1236 0.6236 0.5000
0.6236 0.5000 0.1236
0.8764 0.3764 0.5000
0.7021 0.5055 0.8034
0.7021 0.8987 0.1966
0.2979 0.1013 0.8034
0.1966 0.2979 0.4945
0.8034 0.7021 0.5055
0.5055 0.8034 0.7021
0.1966 0.7021 0.8987
0.8987 0.1966 0.7021
0.4945 0.1966 0.2979
0.8034 0.2979 0.1013
0.1013 0.8034 0.2979
0.2979 0.4945 0.1966
```

Total moment ... 0.00 μB per formula unit
E ... -6.376 eV per atom
Fermi-level density of states ... 1.0033 states/eV per atom
Theoretical density ... 9536 kg/m3

=====

> Which formula does entry 2 have?

Dy5BiRh2